Compound: MgMnCdIn
Source: Alexandria via LeMat-Bulk
Functional: PBE
Structure: relaxed

Computed properties:
Total moment = 15.07 μB per cell
Total energy = -3.477 eV/atom
Calculated volume = 19.862 Å³/atom

abc: 6.8241 6.8241 6.8241
angles: 90.00 90.00 90.00
Space group F-43m (No. 216)
Asymmetric unit:
Mg 0.0000 0.0000 0.0000
Mn 0.0000 0.0000 0.5000
Cd 0.2500 0.2500 0.7500
In 0.2500 0.2500 0.2500